# 1
A plane-wave DFT calculation with GGA-PBE was carried out for an optimized crystal structure of Bi2Sb2Au.

Cell and atoms, written as POSCAR:
```
Bi2Sb2Au
1.0
6.745 0.270 -0.874
-3.968 2.946 1.662
-0.458 1.617 7.669
Bi Sb Au
2 2 1
Direct
0.811 0.221 0.388
0.189 0.779 0.612
0.587 0.423 0.841
0.413 0.577 0.159
0.000 0.000 0.000
```

- formation energy without anion corrections (eV per atom) = 0.01



# 2
A plane-wave DFT calculation with GGA-PBE was carried out for an optimized crystal structure of NpGaAg.

Cell and atoms, written as POSCAR:
```
NpGaAg
1.0
2.915 0.000 0.000
0.000 4.866 0.000
0.000 -2.433 4.214
Np Ga Ag
1 1 1
Direct
0.667 0.333 0.667
0.166 0.667 0.333
0.167 0.000 0.000
```

- formation energy (kJ/mol of atoms) = -2.9



# 3
A plane-wave DFT calculation with GGA-PBE was carried out for an optimized crystal structure of Tl5TeS6.

Cell and atoms, written as POSCAR:
```
Tl5TeS6
1.0
7.586 -0.024 0.000
2.122 6.747 0.000
1.061 3.373 6.128
Tl Te S
5 1 6
Direct
0.500 0.172 0.656
0.000 0.334 0.332
0.500 0.500 0.000
0.000 0.666 0.668
0.500 0.828 0.344
0.000 0.000 0.000
0.788 0.072 0.315
0.212 0.614 0.315
0.221 0.242 0.000
0.779 0.758 0.000
0.788 0.386 0.685
0.212 0.928 0.685
```

- formation energy without anion corrections (eV per atom) = -0.16



| no. | total moment (Bohr magnetons per cell) |
| --- | --- |
| 1 | 0.00 |
| 2 | 4.18 |
| 3 | 0.00 |